Record 1
The following is a DFT calculation (GGA-PBE) of a relaxed structure of SmTlHg2.

Energy relative to the elements, meV/atom: -272
Calculated total energy, eV per atom: -2.194
M_tot, Bohr magnetons per cell: 0.26
Crystal system: tetragonal

abc: 3.907 3.907 7.095
angles: 90.00 90.00 90.00
Space group P4/mmm (No. 123)
Symmetry-distinct sites (fractional):
Sm: 0.000 0.000 0.000 [1 per cell]
Tl: 0.000 0.000 0.500 [1 per cell]
Hg: 0.500 0.500 0.242 [2 per cell]

=====

Record 2
The following is a DFT calculation (GGA-PBE) of a relaxed structure of Sm6Tl3Hg.

Energy relative to the elements, meV/atom: -297
Calculated total energy, eV per atom: -3.868
M_tot, Bohr magnetons per cell: 0.00
Crystal system: monoclinic

abc: 9.585 5.409 11.884
angles: 90.00 107.24 90.00
Space group P2_1/m (No. 11)
Symmetry-distinct sites (fractional):
Sm: 0.034 0.250 0.408 [2 per cell]
Sm: 0.161 0.750 0.179 [2 per cell]
Sm: 0.259 0.250 0.000 [2 per cell]
Sm: 0.350 0.750 0.814 [2 per cell]
Sm: 0.371 0.250 0.343 [2 per cell]
Sm: 0.404 0.250 0.620 [2 per cell]
Tl: 0.031 0.750 0.886 [2 per cell]
Tl: 0.127 0.250 0.715 [2 per cell]
Tl: 0.273 0.750 0.473 [2 per cell]
Hg: 0.452 0.750 0.107 [2 per cell]